First-principles (GGA-PBE) data for a relaxed AlPO4 crystal, as listed in Alexandria.

```
data_AlPO4
_cell_length_a 9.813
_cell_length_b 9.813
_cell_length_c 4.811
_cell_angle_alpha 90.00
_cell_angle_beta 90.00
_cell_angle_gamma 120.00
_symmetry_space_group_name_H-M 'P 1'
_symmetry_Int_Tables_number 1
loop_
_symmetry_equiv_pos_as_xyz
'x,y,z'
loop_
_atom_site_label
_atom_site_fract_x
_atom_site_fract_y
_atom_site_fract_z
Al1 0.000 0.500 0.833
Al2 0.500 0.000 0.500
Al3 0.500 0.500 0.167
P1 0.500 0.000 0.000
P2 0.500 0.500 0.667
P3 0.000 0.500 0.333
O1 0.902 0.365 0.547
O2 0.536 0.635 0.453
O3 0.365 0.464 0.880
O4 0.098 0.464 0.120
O5 0.365 0.902 0.786
O6 0.635 0.536 0.880
O7 0.635 0.098 0.786
O8 0.464 0.365 0.453
O9 0.536 0.902 0.214
O10 0.902 0.536 0.120
O11 0.464 0.098 0.214
O12 0.098 0.635 0.547
```

## Properties
Theoretical density in Mg/m³: 1.5
Space-group type: P6_422
Magnetic moment in μB/atom: 0.00
DFT total energy in eV per atom: -7.10
Formation energy (no corrections) in eV/atom: -2.265
Crystal system: hexagonal

***

First-principles (GGA-PBE) data for a relaxed AlPO4 crystal, as listed in Alexandria.

```
data_AlPO4
_cell_length_a 5.270
_cell_length_b 12.835
_cell_length_c 12.841
_cell_angle_alpha 117.66
_cell_angle_beta 91.35
_cell_angle_gamma 91.49
_symmetry_space_group_name_H-M 'P 1'
_symmetry_Int_Tables_number 1
loop_
_symmetry_equiv_pos_as_xyz
'x,y,z'
loop_
_atom_site_label
_atom_site_fract_x
_atom_site_fract_y
_atom_site_fract_z
O1 0.963 0.869 0.845
O2 0.727 0.502 0.894
O3 0.250 0.740 0.272
O4 0.423 0.328 0.921
O5 0.241 0.911 0.714
O6 0.233 0.884 0.483
O7 0.430 0.846 0.854
O8 0.959 0.342 0.963
O9 0.740 0.950 0.069
O10 0.260 0.050 0.931
O11 0.750 0.260 0.728
O12 0.767 0.116 0.517
O13 0.953 0.905 0.331
O14 0.037 0.131 0.155
O15 0.570 0.154 0.146
O16 0.759 0.089 0.286
O17 0.041 0.658 0.037
O18 0.047 0.095 0.669
O19 0.273 0.498 0.106
O20 0.579 0.052 0.660
O21 0.577 0.672 0.079
O22 0.740 0.703 0.912
O23 0.421 0.948 0.340
O24 0.260 0.297 0.088
Al1 0.273 0.987 0.632
Al2 0.721 0.843 0.921
Al3 0.283 0.641 0.123
Al4 0.279 0.157 0.079
Al5 0.717 0.359 0.877
Al6 0.727 0.013 0.368
P1 0.229 0.367 0.019
P2 0.215 0.870 0.357
P3 0.776 0.080 0.163
P4 0.785 0.130 0.643
P5 0.771 0.633 0.981
P6 0.224 0.920 0.837
```

## Properties
Theoretical density in Mg/m³: 1.6
Space-group type: P-1
Magnetic moment in μB/atom: 0.00
DFT total energy in eV per atom: -7.48
Formation energy (no corrections) in eV/atom: -2.645
Crystal system: triclinic

***

First-principles (GGA-PBE) data for a relaxed AlPO4 crystal, as listed in Alexandria.

```
data_AlPO4
_cell_length_a 5.129
_cell_length_b 5.129
_cell_length_c 7.166
_cell_angle_alpha 90.00
_cell_angle_beta 90.00
_cell_angle_gamma 90.13
_symmetry_space_group_name_H-M 'P 1'
_symmetry_Int_Tables_number 1
loop_
_symmetry_equiv_pos_as_xyz
'x,y,z'
loop_
_atom_site_label
_atom_site_fract_x
_atom_site_fract_y
_atom_site_fract_z
O1 0.887 0.239 0.835
O2 0.761 0.113 0.165
O3 0.113 0.761 0.335
O4 0.742 0.579 0.065
O5 0.258 0.421 0.565
O6 0.421 0.258 0.935
O7 0.579 0.742 0.435
O8 0.239 0.887 0.665
P1 0.704 0.296 0.000
P2 0.296 0.704 0.500
Al1 0.795 0.795 0.250
Al2 0.205 0.205 0.750
```

## Properties
Theoretical density in Mg/m³: 2.1
Space-group type: C222_1
Magnetic moment in μB/atom: 0.00
DFT total energy in eV per atom: -7.48
Formation energy (no corrections) in eV/atom: -2.653
Crystal system: orthorhombic

***

First-principles (GGA-PBE) data for a relaxed AlP2O2 crystal, as listed in Alexandria.

```
data_AlP2O2
_cell_length_a 3.518
_cell_length_b 3.518
_cell_length_c 4.728
_cell_angle_alpha 90.00
_cell_angle_beta 90.00
_cell_angle_gamma 90.00
_symmetry_space_group_name_H-M 'P 1'
_symmetry_Int_Tables_number 1
loop_
_symmetry_equiv_pos_as_xyz
'x,y,z'
loop_
_atom_site_label
_atom_site_fract_x
_atom_site_fract_y
_atom_site_fract_z
O1 0.500 0.000 0.000
O2 0.000 0.500 0.000
P1 0.000 0.000 0.500
P2 0.000 0.000 0.000
Al1 0.500 0.500 0.500
```

## Properties
Theoretical density in Mg/m³: 3.4
Space-group type: P4/mmm
Offset from the most stable computed form in meV per atom: 113
Magnetic moment in μB/atom: 0.00
DFT total energy in eV per atom: -5.51
Formation energy (no corrections) in eV/atom: -0.618
Crystal system: tetragonal

***

First-principles (GGA-PBE) data for a relaxed AlPO crystal, as listed in Alexandria.

```
data_AlPO
_cell_length_a 4.881
_cell_length_b 2.792
_cell_length_c 12.589
_cell_angle_alpha 90.00
_cell_angle_beta 91.27
_cell_angle_gamma 90.00
_symmetry_space_group_name_H-M 'P 1'
_symmetry_Int_Tables_number 1
loop_
_symmetry_equiv_pos_as_xyz
'x,y,z'
loop_
_atom_site_label
_atom_site_fract_x
_atom_site_fract_y
_atom_site_fract_z
Al1 0.825 0.000 0.098
Al2 0.318 0.000 0.468
Al3 0.825 0.500 0.598
Al4 0.318 0.500 0.968
P1 0.384 0.000 0.802
P2 0.384 0.500 0.302
P3 0.905 0.500 0.264
P4 0.905 0.000 0.764
O1 0.638 0.000 0.541
O2 0.137 0.000 0.025
O3 0.137 0.500 0.525
O4 0.638 0.500 0.041
```

## Properties
Theoretical density in Mg/m³: 2.9
Space-group type: Cm
Offset from the most stable computed form in meV per atom: 80
Magnetic moment in μB/atom: 0.00
DFT total energy in eV per atom: -6.29
Formation energy (no corrections) in eV/atom: -1.588
Crystal system: monoclinic

***

First-principles (GGA-PBE) data for a relaxed AlPO4 crystal, as listed in Alexandria.

```
data_AlPO4
_cell_length_a 4.293
_cell_length_b 4.293
_cell_length_c 2.708
_cell_angle_alpha 90.00
_cell_angle_beta 90.00
_cell_angle_gamma 94.41
_symmetry_space_group_name_H-M 'P 1'
_symmetry_Int_Tables_number 1
loop_
_symmetry_equiv_pos_as_xyz
'x,y,z'
loop_
_atom_site_label
_atom_site_fract_x
_atom_site_fract_y
_atom_site_fract_z
O1 0.211 0.211 0.500
O2 0.789 0.789 0.500
O3 0.680 0.320 0.000
O4 0.320 0.680 0.000
P1 0.500 0.500 0.500
Al1 0.000 0.000 0.000
```

## Properties
Theoretical density in Mg/m³: 4.1
Space-group type: Cmmm
Magnetic moment in μB/atom: 0.00
DFT total energy in eV per atom: -7.12
Formation energy (no corrections) in eV/atom: -2.294
Crystal system: orthorhombic

***

Repeat the sixth record exactly.
First-principles (GGA-PBE) data for a relaxed AlPO4 crystal, as listed in Alexandria.

```
data_AlPO4
_cell_length_a 4.293
_cell_length_b 4.293
_cell_length_c 2.708
_cell_angle_alpha 90.00
_cell_angle_beta 90.00
_cell_angle_gamma 94.41
_symmetry_space_group_name_H-M 'P 1'
_symmetry_Int_Tables_number 1
loop_
_symmetry_equiv_pos_as_xyz
'x,y,z'
loop_
_atom_site_label
_atom_site_fract_x
_atom_site_fract_y
_atom_site_fract_z
O1 0.211 0.211 0.500
O2 0.789 0.789 0.500
O3 0.680 0.320 0.000
O4 0.320 0.680 0.000
P1 0.500 0.500 0.500
Al1 0.000 0.000 0.000
```

## Properties
Theoretical density in Mg/m³: 4.1
Space-group type: Cmmm
Magnetic moment in μB/atom: 0.00
DFT total energy in eV per atom: -7.12
Formation energy (no corrections) in eV/atom: -2.294
Crystal system: orthorhombic

***

Look up the magnetic moment of the fifth one.
0.00 μB/atom